(1)
LiHoGePt (PBE-GGA, relaxed); space-group type = No. 216; excess energy over the best structure of this formula in the dataset = 0.00 kJ/mol of atoms; formation energy = -849 meV/atom; theoretical density = 10.57 Mg/m³; magnetic moment = 0.000 μB/atom
1.0
0.000 3.257 3.257
3.257 0.000 3.257
3.257 3.257 0.000
Li Ho Ge Pt
1 1 1 1
Cartesian
0.000 0.000 0.000
4.885 4.885 4.885
1.628 1.628 1.628
3.257 3.257 3.257

***

(2)
MgAs3O9 (PBE-GGA, relaxed); space-group type = No. 20; theoretical density = 3.65 Mg/m³; formation energy from raw total energies = -1185 meV per atom; magnetic moment = 0.080 μB/atom
1.0
4.634 -5.173 0.000
4.634 5.173 0.000
0.000 0.000 7.455
Mg As O
2 6 18
Cartesian
1.595 0.000 0.000
7.674 0.000 3.728
2.476 0.000 3.728
4.387 2.096 7.205
4.882 2.096 3.978
4.387 -2.096 0.250
4.882 -2.096 3.478
6.793 0.000 0.000
4.584 3.752 3.939
4.684 3.752 7.244
1.749 0.466 5.185
2.908 1.552 0.285
1.749 -0.466 2.270
3.569 1.273 3.103
4.634 1.399 5.592
2.908 -1.552 7.171
5.699 1.273 0.624
3.569 -1.273 4.352
6.361 1.552 3.443
4.634 -1.399 1.864
5.699 -1.273 6.831
7.519 0.466 5.998
6.361 -1.552 4.013
7.519 -0.466 1.457
4.584 -3.752 3.517
4.684 -3.752 0.211

***

(3)
ZnSe2Cl (PBE-GGA, relaxed); space-group type = No. 123; excess energy over the best structure of this formula in the dataset = 31.51 kJ/mol of atoms; theoretical density = 4.50 Mg/m³; formation energy from raw total energies = -54 meV per atom; magnetic moment = 0.000 μB/atom
1.0
3.728 0.000 0.000
0.000 3.728 0.000
0.000 0.000 6.863
Zn Se Cl
1 2 1
Cartesian
0.000 0.000 0.000
0.000 1.864 3.432
1.864 0.000 3.432
1.864 1.864 0.000

***

(4)
NaPmCoH6 (PBE-GGA, relaxed); space-group type = No. 156; theoretical density = 4.76 Mg/m³; total energy = -4.0370 eV per atom; magnetic moment = 0.001 μB/atom
1.0
4.746 0.000 0.000
-2.373 4.110 0.000
0.000 0.000 4.164
Na Pm Co H
1 1 1 6
Cartesian
0.000 0.000 0.000
2.373 1.370 2.029
0.000 2.740 3.183
-1.175 2.061 4.058
0.000 1.444 2.251
-1.122 3.388 2.251
1.175 2.061 4.058
0.000 4.097 4.058
1.122 3.388 2.251

***

Which of these has the lowest theoretical density? MgAs3O9